# BaCa2CdS

A relaxed BaCa2CdS crystal (PBE, Alexandria via LeMat-Bulk).

E = -2.78 eV/atom
volume = 200.8 Å³/cell
E above lowest polymorph = 0.226 eV/atom

a = 5.3571 Å, b = 5.3571 Å, c = 6.9977 Å
α = 90.00°, β = 90.00°, γ = 90.00°
Space group P4/mmm (No. 123)
One atom of each set of equivalent atoms:
Ba 0.0000 0.0000 0.0000 [1 per cell]
Ca 0.0000 0.5000 0.5000 [2 per cell]
Cd 0.5000 0.5000 0.0000 [1 per cell]
S 0.5000 0.5000 0.5000 [1 per cell]

# BaCaCdSi

A relaxed BaCaCdSi crystal (PBE, Alexandria via LeMat-Bulk).

E = -2.84 eV/atom
volume = 485.3 Å³/cell

a = 7.8583 Å, b = 7.8583 Å, c = 7.8583 Å
α = 90.00°, β = 90.00°, γ = 90.00°
Space group F-43m (No. 216)
One atom of each set of equivalent atoms:
Ba 0.0000 0.0000 0.0000 [4 per cell]
Ca 0.0000 0.0000 0.5000 [4 per cell]
Cd 0.2500 0.2500 0.2500 [4 per cell]
Si 0.2500 0.2500 0.7500 [4 per cell]

# Ba2CaCd3Sn4

A relaxed Ba2CaCd3Sn4 crystal (PBE, Alexandria via LeMat-Bulk).

E = -2.94 eV/atom
formation energy = -480 meV/atom
volume = 315.5 Å³/cell

a = 4.9821 Å, b = 4.9821 Å, c = 12.7098 Å
α = 90.00°, β = 90.00°, γ = 90.00°
Space group P-4m2 (No. 115)
One atom of each set of equivalent atoms:
Ba 0.0000 0.5000 0.2394 [2 per cell]
Ca 0.0000 0.0000 0.5000 [1 per cell]
Cd 0.0000 0.5000 0.8676 [2 per cell]
Cd 0.5000 0.5000 0.5000 [1 per cell]
Sn 0.0000 0.0000 0.0000 [1 per cell]
Sn 0.0000 0.5000 0.6447 [2 per cell]
Sn 0.5000 0.5000 0.0000 [1 per cell]

# Ba2CaTaCd

A relaxed Ba2CaTaCd crystal (PBE, Alexandria via LeMat-Bulk).

E = -2.24 eV/atom
formation energy = 1478 meV/atom
volume = 229.6 Å³/cell

a = 6.5115 Å, b = 6.5115 Å, c = 5.4146 Å
α = 90.00°, β = 90.00°, γ = 90.00°
Space group P4/mmm (No. 123)
One atom of each set of equivalent atoms:
Ba 0.0000 0.5000 0.0000 [2 per cell]
Ca 0.0000 0.0000 0.0000 [1 per cell]
Ta 0.5000 0.5000 0.5000 [1 per cell]
Cd 0.0000 0.0000 0.5000 [1 per cell]